First-principles (PBE+U) data for a geometry-optimized CePuCoO6 structure, as listed in Alexandria via LeMat-Bulk.

* uncorrected energy: -8.515 eV/atom

abc: 5.2072 5.2072 10.0733
angles: 90.00 90.00 120.00
Space group P-31c (No. 163)
Symmetry-distinct sites (fractional):
Ce 0.0000 0.0000 0.0000 (multiplicity 2)
Pu 0.3333 0.6667 0.2500 (multiplicity 2)
Co 0.3333 0.6667 0.7500 (multiplicity 2)
O 0.0254 0.3637 0.6384 (multiplicity 12)